1.
First-principles (PBE-GGA) data for crystalline BeAsF3 at its relaxed geometry, as listed in the Alexandria database.

Computed properties:
Total magnetic moment, μB per formula unit: 0.00
Raw total energy, eV for the cell shown: -21.39

abc: 3.7615 3.7615 3.7615
angles: 90.00 90.00 90.00
Last column: nearest neighbours and their distance in Å.
Space group Pm-3m (No. 221)
Unique sites:
Be (0.0000, 0.0000, 0.0000) x1  6 F 1.88
As (0.5000, 0.5000, 0.5000) x1  12 F 2.66
F (0.0000, 0.0000, 0.5000) x3  2 Be 1.88

---

2.
First-principles (PBE-GGA) data for crystalline BeAsF2 at its relaxed geometry, as listed in the Alexandria database.

Computed properties:
Total magnetic moment, μB per formula unit: 0.00
Raw total energy, eV for the cell shown: -155.88

abc: 7.3571 7.3571 7.3571
angles: 90.00 90.00 90.00
Last column: nearest neighbours and their distance in Å.
Space group Fd-3m (No. 227, origin choice 2)
Unique sites:
Be (0.1250, 0.1250, 0.1250) x8  4 F 1.59
As (0.1250, 0.1250, 0.6250) x8  12 F 3.05, 4 As 3.19, 4 Be 3.19
F (0.0000, 0.0000, 0.0000) x16  2 Be 1.59

---

3.
First-principles (PBE-GGA) data for crystalline Be3AsF at its relaxed geometry, as listed in the Alexandria database.

Computed properties:
Total magnetic moment, μB per formula unit: 0.00
Raw total energy, eV for the cell shown: -15.00

abc: 4.2488 4.2488 4.2488
angles: 90.00 90.00 90.00
Last column: nearest neighbours and their distance in Å.
Space group Pm-3m (No. 221)
Unique sites:
Be (0.0000, 0.0000, 0.5000) x3  2 As 2.12
As (0.0000, 0.0000, 0.0000) x1  6 Be 2.12
F (0.5000, 0.5000, 0.5000) x1  12 Be 3.00

---

Number 1: volume 53 Å³/cell. Number 2: volume 398 Å³/cell. Number 3: volume 77 Å³/cell.